Entry 1:
! Rb4Br3F12 PBE relaxed; values from VASP
! **SG**: Im-3, No. 204
! **Electronic total energy**: -3.349 eV/atom
! **Raw formation energy**: -32.28 eV/f.u.
! **Crystal system**: cubic
! **N(E_F)**: 8.3 states/eV/f.u.
! **Calculated volume**: 24.77 Å³/atom
&SYSTEM
  ibrav = 0, nat = 19, ntyp = 3
/
ATOMIC_SPECIES
Rb 85.47 Rb.upf
F 19.00 F.upf
Br 79.90 Br.upf
CELL_PARAMETERS angstrom
1.411 0.674 -8.342
7.316 -1.624 3.984
-5.472 -6.326 1.442
ATOMIC_POSITIONS crystal
Rb 0.500 0.000 0.000
Rb 0.000 0.500 0.000
Rb 0.000 0.000 0.500
Rb 0.500 0.500 0.500
F 0.210 0.862 0.348
F 0.486 0.138 0.348
F 0.862 0.348 0.210
F 0.348 0.210 0.862
F 0.348 0.486 0.138
F 0.138 0.652 0.790
F 0.790 0.138 0.652
F 0.138 0.348 0.486
F 0.862 0.652 0.514
F 0.652 0.514 0.862
F 0.652 0.790 0.138
F 0.514 0.862 0.652
Br 0.000 0.500 0.500
Br 0.500 0.000 0.500
Br 0.500 0.500 0.000


Entry 2:
! RbBr2F PBE relaxed; values from VASP
! **SG**: R-3m, No. 166
! **Electronic total energy**: -2.293 eV/atom
! **Raw formation energy**: -2.99 eV/f.u.
! **Crystal system**: trigonal
! **N(E_F)**: 3.3 states/eV/f.u.
! **Calculated volume**: 32.68 Å³/atom
&SYSTEM
  ibrav = 0, nat = 4, ntyp = 3
/
ATOMIC_SPECIES
Br 79.90 Br.upf
F 19.00 F.upf
Rb 85.47 Rb.upf
CELL_PARAMETERS angstrom
-5.935 2.508 -0.785
-4.717 1.718 4.114
-2.709 5.680 1.589
ATOMIC_POSITIONS crystal
Br 0.817 0.817 0.817
Br 0.183 0.183 0.183
F 0.500 0.500 0.500
Rb 0.000 0.000 0.000


Entry 3:
! RbBr2F PBE relaxed; values from VASP
! **SG**: I-42d, No. 122
! **Electronic total energy**: -2.536 eV/atom
! **Raw formation energy**: -3.96 eV/f.u.
! **Crystal system**: tetragonal
! **N(E_F)**: 5.2 states/eV/f.u.
! **Calculated volume**: 37.48 Å³/atom
&SYSTEM
  ibrav = 0, nat = 8, ntyp = 3
/
ATOMIC_SPECIES
Br 79.90 Br.upf
F 19.00 F.upf
Rb 85.47 Rb.upf
CELL_PARAMETERS angstrom
5.100 0.000 0.000
0.000 5.100 0.000
2.550 2.550 11.528
ATOMIC_POSITIONS crystal
Br 0.376 0.625 0.250
Br 0.374 0.125 0.250
Br 0.875 0.624 0.750
Br 0.375 0.626 0.750
F 0.250 0.750 0.500
F 0.500 0.500 0.000
Rb 0.000 0.000 0.000
Rb 0.750 0.250 0.500


Entry 4:
! Rb3BrF2 PBE relaxed; values from VASP
! **SG**: Immm, No. 71
! **Energy above the most stable polymorph in this dataset**: 0 meV per atom
! **Electronic total energy**: -3.733 eV/atom
! **Raw formation energy**: -14.08 eV/f.u.
! **Crystal system**: orthorhombic
! **N(E_F)**: 0.0 states/eV/f.u.
! **Calculated volume**: 30.82 Å³/atom
&SYSTEM
  ibrav = 0, nat = 12, ntyp = 3
/
ATOMIC_SPECIES
F 19.00 F.upf
Br 79.90 Br.upf
Rb 85.47 Rb.upf
CELL_PARAMETERS angstrom
-3.482 1.589 2.350
2.929 -0.679 4.799
5.271 13.487 -1.308
ATOMIC_POSITIONS crystal
F 0.250 0.750 0.939
F 0.750 0.250 0.061
F 0.750 0.250 0.439
F 0.250 0.750 0.561
Br 0.250 0.750 0.250
Br 0.750 0.250 0.750
Rb 0.750 0.750 0.050
Rb 0.250 0.750 0.750
Rb 0.750 0.750 0.450
Rb 0.750 0.250 0.250
Rb 0.250 0.250 0.550
Rb 0.250 0.250 0.950